First-principles (GGA-PBE) data for a geometry-optimized NaLuMoOs structure, as listed in OQMD via LeMat-Bulk.

Calculated values
calculated density: 10.715 Mg/m³
space-group type: F-43m
excess energy over the best structure of this formula in the dataset: 544 meV per atom

Lattice parameters (Å, degrees): 4.7342 4.7342 4.7342 60.00 60.00 60.00
Last column: nearest neighbours and their distance in Å.
Positions (direct):
1 Na 0.0000 0.0000 0.0000  4 Mo 2.90, 4 Os 2.90
2 Lu 0.5000 0.5000 0.5000  4 Mo 2.90, 4 Os 2.90
3 Mo 0.7500 0.7500 0.7500  4 Na 2.90, 4 Lu 2.90
4 Os 0.2500 0.2500 0.2500  4 Na 2.90, 4 Lu 2.90

***

First-principles (GGA-PBE) data for a geometry-optimized Lu2NbMo structure, as listed in OQMD via LeMat-Bulk.

Calculated values
calculated density: 10.626 Mg/m³
formation energy from the elements: 294 meV/atom
space-group type: F-43m

Lattice parameters (Å, degrees): 4.9197 4.9197 4.9197 60.00 60.00 60.00
Last column: nearest neighbours and their distance in Å.
Positions (direct):
1 Lu 0.0000 0.0000 0.0000  4 Mo 3.01, 4 Lu 3.01
2 Lu 0.2500 0.2500 0.2500  4 Nb 3.01, 4 Lu 3.01
3 Nb 0.5000 0.5000 0.5000  4 Mo 3.01, 4 Lu 3.01
4 Mo 0.7500 0.7500 0.7500  4 Nb 3.01, 4 Lu 3.01

***

First-principles (GGA-PBE) data for a geometry-optimized LuNb2Mo structure, as listed in OQMD via LeMat-Bulk.

Calculated values
calculated density: 9.974 Mg/m³
formation energy from the elements: 261 meV/atom
space-group type: F-43m

Lattice parameters (Å, degrees): 4.7553 4.7553 4.7553 60.00 60.00 60.00
Last column: nearest neighbours and their distance in Å.
Positions (direct):
1 Lu 0.0000 0.0000 0.0000  4 Mo 2.91, 4 Nb 2.91
2 Nb 0.2500 0.2500 0.2500  4 Nb 2.91, 4 Lu 2.91
3 Nb 0.5000 0.5000 0.5000  4 Mo 2.91, 4 Nb 2.91
4 Mo 0.7500 0.7500 0.7500  4 Lu 2.91, 4 Nb 2.91

***

First-principles (GGA-PBE) data for a geometry-optimized LuNiMo structure, as listed in OQMD via LeMat-Bulk.

Calculated values
calculated density: 8.913 Mg/m³
formation energy from the elements: 1157 meV/atom
space-group type: F-43m

Lattice parameters (Å, degrees): 4.4283 4.4283 4.4283 60.00 60.00 60.00
Last column: nearest neighbours and their distance in Å.
Positions (direct):
1 Lu 0.0000 0.0000 0.0000  4 Mo 2.71, 4 Ni 2.71
2 Ni 0.2500 0.2500 0.2500  4 Lu 2.71
3 Mo 0.7500 0.7500 0.7500  4 Lu 2.71

***

First-principles (GGA-PBE) data for a geometry-optimized Lu2NiMo structure, as listed in OQMD via LeMat-Bulk.

Calculated values
calculated density: 11.299 Mg/m³
formation energy from the elements: 376 meV/atom
space-group type: F-43m
excess energy over the best structure of this formula in the dataset: 0 meV per atom

Lattice parameters (Å, degrees): 4.7158 4.7158 4.7158 60.00 60.00 60.00
Last column: nearest neighbours and their distance in Å.
Positions (direct):
1 Lu 0.0000 0.0000 0.0000  4 Mo 2.89, 4 Lu 2.89
2 Lu 0.2500 0.2500 0.2500  4 Ni 2.89, 4 Lu 2.89
3 Ni 0.5000 0.5000 0.5000  4 Mo 2.89, 4 Lu 2.89
4 Mo 0.7500 0.7500 0.7500  4 Ni 2.89, 4 Lu 2.89

***

First-principles (GGA-PBE) data for a geometry-optimized LuNiSbMo structure, as listed in OQMD via LeMat-Bulk.

Calculated values
calculated density: 9.799 Mg/m³
space-group type: F-43m
excess energy over the best structure of this formula in the dataset: 427 meV per atom

Lattice parameters (Å, degrees): 4.7648 4.7648 4.7648 60.00 60.00 60.00
Last column: nearest neighbours and their distance in Å.
Positions (direct):
1 Lu 0.0000 0.0000 0.0000  4 Mo 2.92, 4 Sb 2.92
2 Ni 0.5000 0.5000 0.5000  4 Mo 2.92, 4 Sb 2.92
3 Sb 0.2500 0.2500 0.2500  4 Ni 2.92, 4 Lu 2.92
4 Mo 0.7500 0.7500 0.7500  4 Ni 2.92, 4 Lu 2.92

***

First-principles (GGA-PBE) data for a geometry-optimized LuNiSbMo structure, as listed in OQMD via LeMat-Bulk.

Calculated values
calculated density: 10.647 Mg/m³
space-group type: F-43m
excess energy over the best structure of this formula in the dataset: 0 meV per atom

Lattice parameters (Å, degrees): 4.6347 4.6347 4.6347 60.00 60.00 60.00
Last column: nearest neighbours and their distance in Å.
Positions (direct):
1 Lu 0.0000 0.0000 0.0000  4 Mo 2.84, 4 Ni 2.84
2 Ni 0.2500 0.2500 0.2500  4 Sb 2.84, 4 Lu 2.84
3 Sb 0.5000 0.5000 0.5000  4 Mo 2.84, 4 Ni 2.84
4 Mo 0.7500 0.7500 0.7500  4 Sb 2.84, 4 Lu 2.84

***

First-principles (GGA-PBE) data for a geometry-optimized LuNiSnMo structure, as listed in OQMD via LeMat-Bulk.

Calculated values
calculated density: 9.906 Mg/m³
space-group type: F-43m
excess energy over the best structure of this formula in the dataset: 342 meV per atom

Lattice parameters (Å, degrees): 4.7367 4.7367 4.7367 60.00 60.00 60.00
Last column: nearest neighbours and their distance in Å.
Positions (direct):
1 Lu 0.0000 0.0000 0.0000  4 Mo 2.90, 4 Sn 2.90
2 Ni 0.5000 0.5000 0.5000  4 Mo 2.90, 4 Sn 2.90
3 Sn 0.2500 0.2500 0.2500  4 Ni 2.90, 4 Lu 2.90
4 Mo 0.7500 0.7500 0.7500  4 Ni 2.90, 4 Lu 2.90

***

First-principles (GGA-PBE) data for a geometry-optimized LuNiSnMo structure, as listed in OQMD via LeMat-Bulk.

Calculated values
calculated density: 10.332 Mg/m³
space-group type: F-43m
excess energy over the best structure of this formula in the dataset: 0 meV per atom

Lattice parameters (Å, degrees): 4.6707 4.6707 4.6707 60.00 60.00 60.00
Last column: nearest neighbours and their distance in Å.
Positions (direct):
1 Lu 0.0000 0.0000 0.0000  4 Mo 2.86, 4 Ni 2.86
2 Ni 0.7500 0.7500 0.7500  4 Sn 2.86, 4 Lu 2.86
3 Sn 0.5000 0.5000 0.5000  4 Ni 2.86, 4 Mo 2.86
4 Mo 0.2500 0.2500 0.2500  4 Sn 2.86, 4 Lu 2.86

***

First-principles (GGA-PBE) data for a geometry-optimized LuZnNiMo structure, as listed in OQMD via LeMat-Bulk.

Calculated values
calculated density: 9.869 Mg/m³
formation energy from the elements: 223 meV/atom
space-group type: F-43m
excess energy over the best structure of this formula in the dataset: 0 meV per atom

Lattice parameters (Å, degrees): 4.5467 4.5467 4.5467 60.00 60.00 60.00
Last column: nearest neighbours and their distance in Å.
Positions (direct):
1 Lu 0.0000 0.0000 0.0000  4 Ni 2.78, 4 Mo 2.78
2 Zn 0.5000 0.5000 0.5000  4 Ni 2.78, 4 Mo 2.78
3 Ni 0.7500 0.7500 0.7500  4 Zn 2.78, 4 Lu 2.78
4 Mo 0.2500 0.2500 0.2500  4 Zn 2.78, 4 Lu 2.78

***

First-principles (GGA-PBE) data for a geometry-optimized LuZnNiMo structure, as listed in OQMD via LeMat-Bulk.

Calculated values
calculated density: 9.856 Mg/m³
formation energy from the elements: 285 meV/atom
space-group type: F-43m
excess energy over the best structure of this formula in the dataset: 63 meV per atom

Lattice parameters (Å, degrees): 4.5488 4.5488 4.5488 60.00 60.00 60.00
Last column: nearest neighbours and their distance in Å.
Positions (direct):
1 Lu 0.0000 0.0000 0.0000  4 Mo 2.79, 4 Zn 2.79
2 Zn 0.2500 0.2500 0.2500  4 Ni 2.79, 4 Lu 2.79
3 Ni 0.5000 0.5000 0.5000  4 Mo 2.79, 4 Zn 2.79
4 Mo 0.7500 0.7500 0.7500  4 Ni 2.79, 4 Lu 2.79

***

First-principles (GGA-PBE) data for a geometry-optimized LuNpMo structure, as listed in OQMD via LeMat-Bulk.

Calculated values
calculated density: 11.352 Mg/m³
formation energy from the elements: 728 meV/atom
space-group type: F-43m

Lattice parameters (Å, degrees): 4.7187 4.7187 4.7187 60.00 60.00 60.00
Last column: nearest neighbours and their distance in Å.
Positions (direct):
1 Lu 0.0000 0.0000 0.0000  4 Mo 2.89
2 Np 0.5000 0.5000 0.5000  4 Mo 2.89
3 Mo 0.2500 0.2500 0.2500  4 Np 2.89, 4 Lu 2.89

***

First-principles (GGA-PBE) data for a geometry-optimized LuPaMo structure, as listed in OQMD via LeMat-Bulk.

Calculated values
calculated density: 10.908 Mg/m³
formation energy from the elements: 416 meV/atom
space-group type: F-43m
excess energy over the best structure of this formula in the dataset: 0 meV per atom

Lattice parameters (Å, degrees): 4.7631 4.7631 4.7631 60.00 60.00 60.00
Last column: nearest neighbours and their distance in Å.
Positions (direct):
1 Lu 0.0000 0.0000 0.0000  4 Mo 2.92
2 Pa 0.5000 0.5000 0.5000  4 Mo 2.92
3 Mo 0.2500 0.2500 0.2500  4 Pa 2.92, 4 Lu 2.92

***

First-principles (GGA-PBE) data for a geometry-optimized LuMoPb structure, as listed in OQMD via LeMat-Bulk.

Calculated values
calculated density: 9.450 Mg/m³
VASP energy: -15.9 eV per formula unit
space-group type: F-43m

Lattice parameters (Å, degrees): 4.9161 4.9161 4.9161 60.00 60.00 60.00
Last column: nearest neighbours and their distance in Å.
Positions (direct):
1 Lu 0.0000 0.0000 0.0000  4 Mo 3.01, 4 Pb 3.01
2 Mo 0.7500 0.7500 0.7500  4 Lu 3.01
3 Pb 0.2500 0.2500 0.2500  4 Lu 3.01

***

First-principles (GGA-PBE) data for a geometry-optimized Lu2MoPb structure, as listed in OQMD via LeMat-Bulk.

Calculated values
calculated density: 12.020 Mg/m³
VASP energy: -22.7 eV per formula unit
space-group type: F-43m

Lattice parameters (Å, degrees): 5.0342 5.0342 5.0342 60.00 60.00 60.00
Last column: nearest neighbours and their distance in Å.
Positions (direct):
1 Lu 0.0000 0.0000 0.0000  4 Mo 3.08, 4 Lu 3.08
2 Lu 0.2500 0.2500 0.2500  4 Pb 3.08, 4 Lu 3.08
3 Mo 0.7500 0.7500 0.7500  4 Lu 3.08, 4 Pb 3.08
4 Pb 0.5000 0.5000 0.5000  4 Mo 3.08, 4 Lu 3.08

***

First-principles (GGA-PBE) data for a geometry-optimized LuMo2Pb structure, as listed in OQMD via LeMat-Bulk.

Calculated values
calculated density: 12.210 Mg/m³
VASP energy: -28.5 eV per formula unit
space-group type: F-43m

Lattice parameters (Å, degrees): 4.7974 4.7974 4.7974 60.00 60.00 60.00
Last column: nearest neighbours and their distance in Å.
Positions (direct):
1 Lu 0.0000 0.0000 0.0000  4 Pb 2.94, 4 Mo 2.94
2 Mo 0.2500 0.2500 0.2500  4 Mo 2.94, 4 Lu 2.94
3 Mo 0.5000 0.5000 0.5000  4 Mo 2.94, 4 Pb 2.94
4 Pb 0.7500 0.7500 0.7500  4 Mo 2.94, 4 Lu 2.94

***

First-principles (GGA-PBE) data for a geometry-optimized Lu2MoPd structure, as listed in OQMD via LeMat-Bulk.

Calculated values
calculated density: 11.663 Mg/m³
formation energy from the elements: 168 meV/atom
space-group type: F-43m

Lattice parameters (Å, degrees): 4.8088 4.8088 4.8088 60.00 60.00 60.00
Last column: nearest neighbours and their distance in Å.
Positions (direct):
1 Lu 0.0000 0.0000 0.0000  4 Mo 2.94, 4 Lu 2.94
2 Lu 0.2500 0.2500 0.2500  4 Pd 2.94, 4 Lu 2.94
3 Mo 0.7500 0.7500 0.7500  4 Pd 2.94, 4 Lu 2.94
4 Pd 0.5000 0.5000 0.5000  4 Mo 2.94, 4 Lu 2.94

***

First-principles (GGA-PBE) data for a geometry-optimized LuMoPt structure, as listed in OQMD via LeMat-Bulk.

Calculated values
calculated density: 11.804 Mg/m³
formation energy from the elements: 580 meV/atom
space-group type: F-43m
excess energy over the best structure of this formula in the dataset: 573 meV per atom

Lattice parameters (Å, degrees): 4.5259 4.5259 4.5259 60.00 60.00 60.00
Last column: nearest neighbours and their distance in Å.
Positions (direct):
1 Lu 0.0000 0.0000 0.0000  4 Mo 2.77, 4 Pt 2.77
2 Mo 0.7500 0.7500 0.7500  4 Lu 2.77
3 Pt 0.2500 0.2500 0.2500  4 Lu 2.77

***

First-principles (GGA-PBE) data for a geometry-optimized LuMoPt structure, as listed in OQMD via LeMat-Bulk.

Calculated values
calculated density: 11.988 Mg/m³
formation energy from the elements: 7 meV/atom
space-group type: F-43m
excess energy over the best structure of this formula in the dataset: 0 meV per atom

Lattice parameters (Å, degrees): 4.5026 4.5026 4.5026 60.00 60.00 60.00
Last column: nearest neighbours and their distance in Å.
Positions (direct):
1 Lu 0.0000 0.0000 0.0000  4 Pt 2.76
2 Mo 0.5000 0.5000 0.5000  4 Pt 2.76
3 Pt 0.2500 0.2500 0.2500  4 Mo 2.76, 4 Lu 2.76

***

First-principles (GGA-PBE) data for a geometry-optimized RbLuMo structure, as listed in OQMD via LeMat-Bulk.

Calculated values
calculated density: 5.578 Mg/m³
space-group type: F-43m
excess energy over the best structure of this formula in the dataset: 0 meV per atom

Lattice parameters (Å, degrees): 5.3138 5.3138 5.3138 60.00 60.00 60.00
Last column: nearest neighbours and their distance in Å.
Positions (direct):
1 Rb 0.0000 0.0000 0.0000  4 Mo 3.25
2 Lu 0.5000 0.5000 0.5000  4 Mo 3.25
3 Mo 0.7500 0.7500 0.7500  4 Rb 3.25, 4 Lu 3.25